This record from OQMD describes a relaxed Ba3As4Pt4 crystal. The functional is PBE.

abc: 4.4277 4.5855 12.9043
angles: 90.00 90.00 90.00
Closest atoms and distances in Å follow each position.
Sites, in units of the cell vectors:
Ba 0.5000 0.0000 0.0000  4 Pt 3.38, 8 As 3.46
Ba 0.0000 0.0000 0.3006  6 As 3.38-3.42, 8 Pt 3.39-3.48
Ba 0.0000 0.0000 0.6994  6 As 3.38-3.42, 8 Pt 3.39-3.48
As 0.5000 0.5000 0.3887  5 Pt 2.53-2.71
As 0.0000 0.5000 0.8956  2 Pt 2.49, 1 As 2.69
As 0.5000 0.5000 0.6113  5 Pt 2.53-2.71
As 0.0000 0.5000 0.1044  2 Pt 2.49, 1 As 2.69
Pt 0.5000 0.0000 0.5000  4 As 2.71
Pt 0.0000 0.5000 0.5000  4 As 2.64
Pt 0.5000 0.5000 0.8074  3 As 2.49-2.53
Pt 0.5000 0.5000 0.1926  3 As 2.49-2.53

E, eV for the cell shown: -57.98
Symmetry: Pmmm (47)
Calculated density, g/cm3: 9.5


This record from OQMD describes a relaxed HfFeSiNi crystal. The functional is PBE.

abc: 4.2151 4.2151 4.2151
angles: 60.00 60.00 60.00
Closest atoms and distances in Å follow each position.
Sites, in units of the cell vectors:
Ni 0.2500 0.2500 0.2500  4 Hf 2.58, 4 Si 2.58
Fe 0.7500 0.7500 0.7500  4 Hf 2.58, 4 Si 2.58
Hf 0.5000 0.5000 0.5000  4 Ni 2.58, 4 Fe 2.58
Si 0.0000 0.0000 0.0000  4 Fe 2.58, 4 Ni 2.58

E, eV for the cell shown: -31.15
Symmetry: F-43m (216)
Calculated density, g/cm3: 10.1


This record from OQMD describes a relaxed HfZnFeCu crystal. The functional is PBE.

abc: 4.3632 4.3632 4.3632
angles: 60.00 60.00 60.00
Closest atoms and distances in Å follow each position.
Sites, in units of the cell vectors:
Cu 0.5000 0.5000 0.5000  4 Fe 2.67, 4 Hf 2.67
Fe 0.7500 0.7500 0.7500  4 Cu 2.67, 4 Zn 2.67
Zn 0.0000 0.0000 0.0000  4 Fe 2.67, 4 Hf 2.67
Hf 0.2500 0.2500 0.2500  4 Cu 2.67, 4 Zn 2.67

E, eV for the cell shown: -23.18
Symmetry: F-43m (216)
Calculated density, g/cm3: 10.3
Energy of formation, eV per formula unit: 0.1


This record from OQMD describes a relaxed RbLaCdO3 crystal. The functional is PBE.

abc: 6.8412 6.8412 9.6178
angles: 90.00 90.00 32.23
Closest atoms and distances in Å follow each position.
Sites, in units of the cell vectors:
O 0.3864 0.3864 0.9640  1 Cd 2.10
O 0.6136 0.6136 0.0360  1 Cd 2.10
O 0.3864 0.3864 0.5360  1 Cd 2.10
O 0.6136 0.6136 0.4640  1 Cd 2.10
O 0.9724 0.9724 0.2500  2 Cd 2.39, 2 La 2.43
O 0.0276 0.0276 0.7500  2 Cd 2.39, 2 La 2.43
La 0.0000 0.0000 0.5000  6 O 2.43-2.44
La 0.0000 0.0000 0.0000  6 O 2.43-2.44
Rb 0.6965 0.6965 0.7500  4 O 2.92-2.96
Rb 0.3035 0.3035 0.2500  4 O 2.92-2.96
Cd 0.4171 0.4171 0.7500  2 O 2.10
Cd 0.5829 0.5829 0.2500  2 O 2.10

E, eV for the cell shown: -67.14
Symmetry: Cmcm (63)
Calculated density, g/cm3: 5.3


The lowest calculated density belongs to which entry? RbLaCdO3


What is the formula in the third record? HfZnFeCu


Which value of calculated density does entry 4 give? 5.3 g/cm3